Entry 1:
DFT (PBE-GGA) results for a relaxed CrSeS3 crystal.

Cell lengths 6.645, 4.730, 7.202 Å; angles 90.00, 92.43, 90.00 degrees
Space group P2_1 (No. 4)
Unique sites:
Cr1 0.248 0.000 0.497 x2
Se1 0.230 0.331 0.765 x2
S1 0.036 0.689 0.671 x2
S2 0.289 0.684 0.254 x2
S3 0.457 0.336 0.333 x2

Calculated values
formation energy from raw total energies = -0.19 eV per atom
excess energy over the best structure of this formula in the dataset = 0.00 eV per formula unit

***

Entry 2:
DFT (PBE-GGA) results for a relaxed TiCr2SeS crystal.

Cell lengths 4.209, 4.209, 5.434 Å; angles 90.00, 90.00, 90.00 degrees
Space group P4/mmm (No. 123)
Unique sites:
Ti1 0.000 0.000 0.000 x1
Cr1 0.000 0.500 0.500 x2
Se1 0.500 0.500 0.000 x1
S1 0.500 0.500 0.500 x1

Calculated values
formation energy from raw total energies = 0.46 eV per atom

***

Entry 3:
DFT (PBE-GGA) results for a relaxed V2CrSe4S2 crystal.

Cell lengths 3.2370, 3.2370, 20.9445 Å; angles 90.00, 90.00, 120.00 degrees
Space group P3m1 (No. 156)
Unique sites:
V1 0.0000 0.0000 0.0000 x1
V2 0.3333 0.6667 0.3331 x1
Cr1 0.3333 0.6667 0.6789 x1
Se1 0.0000 0.0000 0.2553 x1
Se2 0.0000 0.0000 0.4109 x1
Se3 0.3333 0.6667 0.0778 x1
Se4 0.3333 0.6667 0.9222 x1
S1 0.0000 0.0000 0.6111 x1
S2 0.0000 0.0000 0.7468 x1

Calculated values
formation energy from raw total energies = -0.65 eV per atom

***

Entry 4:
DFT (PBE-GGA) results for a relaxed VCrSe2S crystal.

Cell lengths 3.443, 4.458, 13.586 Å; angles 90.00, 90.00, 90.00 degrees
Space group Imm2 (No. 44)
Unique sites:
V1 0.000 0.000 0.000 x2
Cr1 0.000 0.500 0.808 x2
Se1 0.000 0.500 0.335 x2
Se2 0.000 0.500 0.625 x2
S1 0.000 0.500 0.976 x2

Calculated values
formation energy from raw total energies = -0.44 eV per atom

***

Entry 5:
DFT (PBE-GGA) results for a relaxed CrW2Se4S2 crystal.

Cell lengths 3.2441, 3.2441, 21.6302 Å; angles 90.00, 90.00, 120.00 degrees
Space group P3m1 (No. 156)
Unique sites:
Cr1 0.0000 0.0000 0.0000 x1
W1 0.0000 0.0000 0.6557 x1
W2 0.6667 0.3333 0.3184 x1
Se1 0.0000 0.0000 0.2392 x1
Se2 0.0000 0.0000 0.3976 x1
Se3 0.6667 0.3333 0.5765 x1
Se4 0.6667 0.3333 0.7349 x1
S1 0.6667 0.3333 0.0656 x1
S2 0.6667 0.3333 0.9344 x1

Calculated values
formation energy from raw total energies = -0.56 eV per atom

***

Entry 6:
DFT (PBE-GGA) results for a relaxed CrW2Se2S4 crystal.

Cell lengths 3.1952, 3.1952, 21.5865 Å; angles 90.00, 90.00, 120.00 degrees
Space group P3m1 (No. 156)
Unique sites:
Cr1 0.0000 0.0000 0.0000 x1
W1 0.0000 0.0000 0.6503 x1
W2 0.6667 0.3333 0.3263 x1
Se1 0.6667 0.3333 0.0731 x1
Se2 0.6667 0.3333 0.9269 x1
S1 0.0000 0.0000 0.2535 x1
S2 0.0000 0.0000 0.3990 x1
S3 0.6667 0.3333 0.5775 x1
S4 0.6667 0.3333 0.7230 x1

Calculated values
formation energy from raw total energies = -0.71 eV per atom

***

Entry 7:
DFT (PBE-GGA) results for a relaxed ZnCr2Se2S2 crystal.

Cell lengths 10.320, 10.320, 10.320 Å; angles 90.00, 90.00, 90.00 degrees
Space group F-43m (No. 216)
Unique sites:
Zn1 0.000 0.000 0.000 x4
Zn2 0.250 0.250 0.250 x4
Cr1 0.121 0.121 0.621 x16
Se1 0.136 0.136 0.864 x16
S1 0.114 0.114 0.386 x16

Calculated values
formation energy from raw total energies = -0.66 eV per atom

***

Entry 8:
DFT (PBE-GGA) results for a relaxed CrSi2S crystal.

Cell lengths 5.846, 5.846, 9.022 Å; angles 90.00, 90.00, 90.00 degrees
Space group I-42d (No. 122)
Unique sites:
Cr1 0.000 0.000 0.000 x4
Si1 0.239 0.250 0.625 x8
S1 0.000 0.000 0.500 x4

Calculated values
formation energy from raw total energies = 0.51 eV per atom

***

Sequential total magnetization output: 2.31 4.00 1.79 5.02 0.00 0.00 5.99 2.56 μB per formula unit